a | Material: SrAc2Sn
Method: DFT, PBE
State: relaxed

Cell lengths 5.3813, 5.3813, 5.2429 Å; angles 90.00, 90.00, 90.00 degrees
Fractional coordinates of all 4 atoms:
1 Sr 0.0000 0.0000 0.0000
2 Ac 0.0000 0.5000 0.5000
3 Ac 0.5000 0.0000 0.5000
4 Sn 0.5000 0.5000 0.0000

Properties
The density of states at the Fermi level comes out at 0.982 states/eV per atom. Its crystal system is tetragonal. The magnetization comes out at 0.00 Bohr magnetons per cell. The space group is No. 123.

---

b | Material: SrAc2Sn
Method: DFT, PBE
State: relaxed

Cell lengths 12.3804, 12.3804, 12.3804 Å; angles 20.98, 20.98, 20.98 degrees
Fractional coordinates of all 4 atoms:
1 Sr 0.0000 0.0000 0.0000
2 Ac 0.1128 0.1128 0.1128
3 Ac 0.8872 0.8872 0.8872
4 Sn 0.5000 0.5000 0.5000

Properties
The density of states at the Fermi level comes out at 1.457 states/eV per atom. Its crystal system is trigonal. The magnetization comes out at 0.45 Bohr magnetons per cell. The space group is No. 166.

---

It turns out a is the most stable, with the second structure 25.5 kJ/mol of atoms higher.

---

a | Material: SrAc2Sn
Method: DFT, PBE
State: relaxed

Cell lengths 6.0133, 6.0133, 6.0133 Å; angles 60.00, 60.00, 60.00 degrees
Fractional coordinates of all 4 atoms:
1 Sr 0.0000 0.0000 0.0000
2 Ac 0.2500 0.2500 0.2500
3 Ac 0.7500 0.7500 0.7500
4 Sn 0.5000 0.5000 0.5000

Properties
The density of states at the Fermi level comes out at 1.557 states/eV per atom. Its crystal system is cubic. The magnetization comes out at 0.02 Bohr magnetons per cell. The space group is No. 225.

---

b | Material: SrAc2Sn
Method: DFT, PBE
State: relaxed

Cell lengths 4.4905, 4.4905, 7.8290 Å; angles 90.00, 90.00, 90.00 degrees
Fractional coordinates of all 4 atoms:
1 Sr 0.0000 0.0000 0.0000
2 Ac 0.5000 0.5000 0.2846
3 Ac 0.5000 0.5000 0.7154
4 Sn 0.0000 0.0000 0.5000

Properties
The density of states at the Fermi level comes out at 1.049 states/eV per atom. Its crystal system is tetragonal. The magnetization comes out at 0.00 Bohr magnetons per cell. The space group is No. 123.

---

It turns out b is the most stable, with the second structure 10.9 kJ/mol of atoms higher.

---

a | Material: SrAcSn
Method: DFT, PBE
State: relaxed

Cell lengths 5.4918, 5.4918, 4.3731 Å; angles 90.00, 90.00, 120.00 degrees
Fractional coordinates of all 3 atoms:
1 Sr 0.0000 0.0000 0.0000
2 Ac 0.6667 0.3333 0.4553
3 Sn 0.3333 0.6667 0.7633

Properties
The density of states at the Fermi level comes out at 1.172 states/eV per atom. Its crystal system is trigonal. The magnetization comes out at 0.00 Bohr magnetons per cell. The space group is No. 156.

---

b | Material: SrAcSn
Method: DFT, PBE
State: relaxed

Cell lengths 4.9968, 4.9968, 9.2072 Å; angles 90.00, 90.00, 90.00 degrees
Fractional coordinates of all 6 atoms:
1 Sr 0.2500 0.7500 0.0000
2 Sr 0.7500 0.2500 0.0000
3 Ac 0.2500 0.2500 0.3632
4 Ac 0.7500 0.7500 0.6368
5 Sn 0.2500 0.2500 0.7337
6 Sn 0.7500 0.7500 0.2663

Properties
The density of states at the Fermi level comes out at 0.863 states/eV per atom. Its crystal system is tetragonal. The magnetization comes out at 2.02 Bohr magnetons per cell. The space group is No. 129.

---

It turns out b is the most stable, with the second structure 18.6 kJ/mol of atoms higher.